The following is a DFT calculation (GGA+U) of a geometry-optimized CaCoO3 structure.

Cell lengths 5.398, 7.502, 5.320 Å; angles 90.00, 90.00, 90.00 degrees
Space group Pnma (No. 62)
One atom of each set of equivalent atoms:
Ca (0.045, 0.250, 0.009)
Co (0.000, 0.000, 0.500)
O (0.013, 0.750, 0.428)
O (0.211, 0.537, 0.793)

Results
Calculated total energy (eV per atom): -6.024
Crystal system: orthorhombic